# Tb3NdTe6 PBE optimized geometry
data_Tb3NdTe6
_cell_length_a 7.548
_cell_length_b 8.216
_cell_length_c 8.216
_cell_angle_alpha 62.92
_cell_angle_beta 62.28
_cell_angle_gamma 62.28
_symmetry_space_group_name_H-M 'P 1'
_symmetry_Int_Tables_number 1
loop_
_symmetry_equiv_pos_as_xyz
'x,y,z'
loop_
_atom_site_label
_atom_site_type_symbol
_atom_site_fract_x
_atom_site_fract_y
_atom_site_fract_z
Te1 Te 0.664 0.339 0.842
Te2 Te 0.936 0.246 0.246
Te3 Te 0.336 0.661 0.158
Te4 Te 0.064 0.754 0.754
Te5 Te 0.336 0.158 0.661
Te6 Te 0.664 0.842 0.339
Tb1 Tb 0.329 0.249 0.249
Tb2 Tb 0.671 0.751 0.751
Tb3 Tb 0.000 0.000 0.000
Nd1 Nd 0.500 0.500 0.500
# Excess energy over the best structure of this formula in the dataset (eV/f.u.): 1.87
# DOS at the Fermi energy (states/eV per cell): 0.1
# E_tot (eV/atom): -4.98
# Spin magnetization (μB/atom): 0.000



# Tb2Nd5Te4 PBE optimized geometry
data_Tb2Nd5Te4
_cell_length_a 3.999
_cell_length_b 7.488
_cell_length_c 12.944
_cell_angle_alpha 86.87
_cell_angle_beta 98.89
_cell_angle_gamma 90.00
_symmetry_space_group_name_H-M 'P 1'
_symmetry_Int_Tables_number 1
loop_
_symmetry_equiv_pos_as_xyz
'x,y,z'
loop_
_atom_site_label
_atom_site_type_symbol
_atom_site_fract_x
_atom_site_fract_y
_atom_site_fract_z
Te1 Te 0.336 0.488 0.672
Te2 Te 0.034 0.702 0.068
Te3 Te 0.664 0.512 0.328
Te4 Te 0.966 0.298 0.932
Tb1 Tb 0.914 0.670 0.828
Tb2 Tb 0.086 0.330 0.172
Nd1 Nd 0.855 0.139 0.710
Nd2 Nd 0.767 0.743 0.534
Nd3 Nd 0.145 0.861 0.290
Nd4 Nd 0.233 0.257 0.466
Nd5 Nd 0.500 0.000 0.000
# DOS at the Fermi energy (states/eV per cell): 13.7
# E_tot (eV/atom): -4.89
# Spin magnetization (μB/atom): 0.162



# Tb2NdTe4 PBE optimized geometry
data_Tb2NdTe4
_cell_length_a 4.399
_cell_length_b 7.622
_cell_length_c 8.687
_cell_angle_alpha 116.43
_cell_angle_beta 104.67
_cell_angle_gamma 90.00
_symmetry_space_group_name_H-M 'P 1'
_symmetry_Int_Tables_number 1
loop_
_symmetry_equiv_pos_as_xyz
'x,y,z'
loop_
_atom_site_label
_atom_site_type_symbol
_atom_site_fract_x
_atom_site_fract_y
_atom_site_fract_z
Tb1 Tb 0.745 0.757 0.489
Tb2 Tb 0.255 0.243 0.511
Nd1 Nd 0.000 0.000 0.000
Te1 Te 0.633 0.295 0.266
Te2 Te 0.367 0.705 0.734
Te3 Te 0.874 0.208 0.749
Te4 Te 0.126 0.792 0.251
# Excess energy over the best structure of this formula in the dataset (eV/f.u.): 0.00
# DOS at the Fermi energy (states/eV per cell): 3.0
# E_tot (eV/atom): -5.20
# Spin magnetization (μB/atom): 0.000



# Tb3NdTe6 PBE optimized geometry
data_Tb3NdTe6
_cell_length_a 4.402
_cell_length_b 12.540
_cell_length_c 12.901
_cell_angle_alpha 109.29
_cell_angle_beta 90.00
_cell_angle_gamma 90.00
_symmetry_space_group_name_H-M 'P 1'
_symmetry_Int_Tables_number 1
loop_
_symmetry_equiv_pos_as_xyz
'x,y,z'
loop_
_atom_site_label
_atom_site_type_symbol
_atom_site_fract_x
_atom_site_fract_y
_atom_site_fract_z
Te1 Te 0.250 0.516 0.383
Te2 Te 0.250 0.608 0.940
Te3 Te 0.750 0.744 0.278
Te4 Te 0.250 0.085 0.902
Te5 Te 0.250 0.194 0.250
Te6 Te 0.750 0.392 0.060
Te7 Te 0.750 0.806 0.750
Te8 Te 0.250 0.885 0.532
Te9 Te 0.750 0.484 0.617
Te10 Te 0.750 0.115 0.468
Te11 Te 0.750 0.915 0.098
Te12 Te 0.250 0.256 0.722
Tb1 Tb 0.750 0.155 0.082
Tb2 Tb 0.250 0.318 0.498
Tb3 Tb 0.250 0.566 0.166
Tb4 Tb 0.750 0.434 0.834
Tb5 Tb 0.250 0.845 0.918
Tb6 Tb 0.750 0.682 0.502
Nd1 Nd 0.250 0.954 0.304
Nd2 Nd 0.750 0.046 0.696
# Excess energy over the best structure of this formula in the dataset (eV/f.u.): 0.00
# DOS at the Fermi energy (states/eV per cell): 0.0
# E_tot (eV/atom): -5.16
# Spin magnetization (μB/atom): 0.000



# Tb5Nd3Te8 PBE optimized geometry
data_Tb5Nd3Te8
_cell_length_a 8.821
_cell_length_b 8.821
_cell_length_c 8.864
_cell_angle_alpha 60.16
_cell_angle_beta 60.16
_cell_angle_gamma 60.00
_symmetry_space_group_name_H-M 'P 1'
_symmetry_Int_Tables_number 1
loop_
_symmetry_equiv_pos_as_xyz
'x,y,z'
loop_
_atom_site_label
_atom_site_type_symbol
_atom_site_fract_x
_atom_site_fract_y
_atom_site_fract_z
Tb1 Tb 0.500 0.500 0.000
Tb2 Tb 0.000 0.000 0.000
Tb3 Tb 0.500 0.500 0.500
Tb4 Tb 0.500 0.000 0.000
Tb5 Tb 0.000 0.500 0.000
Te1 Te 0.746 0.746 0.761
Te2 Te 0.750 0.750 0.243
Te3 Te 0.743 0.250 0.757
Te4 Te 0.257 0.750 0.243
Te5 Te 0.750 0.257 0.243
Te6 Te 0.250 0.250 0.757
Te7 Te 0.254 0.254 0.239
Te8 Te 0.250 0.743 0.757
Nd1 Nd 0.000 0.500 0.500
Nd2 Nd 0.500 0.000 0.500
Nd3 Nd 0.000 0.000 0.500
# DOS at the Fermi energy (states/eV per cell): 12.0
# E_tot (eV/atom): -5.26
# Spin magnetization (μB/atom): 0.000



# TbNd5Te8 PBE optimized geometry
data_TbNd5Te8
_cell_length_a 8.238
_cell_length_b 8.238
_cell_length_c 8.238
_cell_angle_alpha 109.69
_cell_angle_beta 109.03
_cell_angle_gamma 109.69
_symmetry_space_group_name_H-M 'P 1'
_symmetry_Int_Tables_number 1
loop_
_symmetry_equiv_pos_as_xyz
'x,y,z'
loop_
_atom_site_label
_atom_site_type_symbol
_atom_site_fract_x
_atom_site_fract_y
_atom_site_fract_z
Te1 Te 0.126 0.750 0.527
Te2 Te 0.128 0.747 0.021
Te3 Te 0.624 0.401 0.874
Te4 Te 0.618 0.893 0.872
Te5 Te 0.776 0.250 0.376
Te6 Te 0.274 0.253 0.382
Te7 Te 0.473 0.599 0.224
Te8 Te 0.979 0.107 0.726
Tb1 Tb 0.250 0.500 0.750
Nd1 Nd 0.500 0.000 0.500
Nd2 Nd 0.874 0.869 0.244
Nd3 Nd 0.756 0.630 0.625
Nd4 Nd 0.375 0.131 0.005
Nd5 Nd 0.995 0.370 0.126
# DOS at the Fermi energy (states/eV per cell): 9.7
# E_tot (eV/atom): -5.24
# Spin magnetization (μB/atom): 0.000



# Tb5NdTe6 PBE optimized geometry
data_Tb5NdTe6
_cell_length_a 7.591
_cell_length_b 7.611
_cell_length_c 7.620
_cell_angle_alpha 60.04
_cell_angle_beta 80.41
_cell_angle_gamma 70.52
_symmetry_space_group_name_H-M 'P 1'
_symmetry_Int_Tables_number 1
loop_
_symmetry_equiv_pos_as_xyz
'x,y,z'
loop_
_atom_site_label
_atom_site_type_symbol
_atom_site_fract_x
_atom_site_fract_y
_atom_site_fract_z
Te1 Te 0.752 0.741 0.000
Te2 Te 0.256 0.915 0.658
Te3 Te 0.744 0.085 0.342
Te4 Te 0.744 0.427 0.658
Te5 Te 0.256 0.573 0.342
Te6 Te 0.248 0.259 0.000
Nd1 Nd 0.000 0.000 0.000
Tb1 Tb 0.000 0.666 0.668
Tb2 Tb 0.500 0.842 0.316
Tb3 Tb 0.000 0.334 0.332
Tb4 Tb 0.500 0.500 0.000
Tb5 Tb 0.500 0.158 0.684
# DOS at the Fermi energy (states/eV per cell): 5.4
# E_tot (eV/atom): -5.23
# Spin magnetization (μB/atom): 0.000



# TbNdTe3 PBE optimized geometry
data_TbNdTe3
_cell_length_a 8.265
_cell_length_b 7.421
_cell_length_c 11.201
_cell_angle_alpha 90.00
_cell_angle_beta 90.00
_cell_angle_gamma 90.00
_symmetry_space_group_name_H-M 'P 1'
_symmetry_Int_Tables_number 1
loop_
_symmetry_equiv_pos_as_xyz
'x,y,z'
loop_
_atom_site_label
_atom_site_type_symbol
_atom_site_fract_x
_atom_site_fract_y
_atom_site_fract_z
Tb1 Tb 0.000 0.500 0.500
Tb2 Tb 0.000 0.500 0.000
Tb3 Tb 0.500 0.000 0.500
Tb4 Tb 0.500 0.000 0.000
Te1 Te 0.176 0.839 0.923
Te2 Te 0.824 0.161 0.423
Te3 Te 0.550 0.162 0.750
Te4 Te 0.824 0.161 0.077
Te5 Te 0.050 0.338 0.750
Te6 Te 0.324 0.339 0.077
Te7 Te 0.176 0.839 0.577
Te8 Te 0.950 0.662 0.250
Te9 Te 0.676 0.661 0.923
Te10 Te 0.676 0.661 0.577
Te11 Te 0.324 0.339 0.423
Te12 Te 0.450 0.838 0.250
Nd1 Nd 0.120 0.052 0.250
Nd2 Nd 0.880 0.948 0.750
Nd3 Nd 0.380 0.552 0.750
Nd4 Nd 0.620 0.448 0.250
# Excess energy over the best structure of this formula in the dataset (eV/f.u.): 0.12
# E_tot (eV/atom): -5.16
# Spin magnetization (μB/atom): 0.000



# TbNd5Te4 PBE optimized geometry
data_TbNd5Te4
_cell_length_a 4.304
_cell_length_b 8.691
_cell_length_c 9.634
_cell_angle_alpha 101.71
_cell_angle_beta 102.91
_cell_angle_gamma 90.00
_symmetry_space_group_name_H-M 'P 1'
_symmetry_Int_Tables_number 1
loop_
_symmetry_equiv_pos_as_xyz
'x,y,z'
loop_
_atom_site_label
_atom_site_type_symbol
_atom_site_fract_x
_atom_site_fract_y
_atom_site_fract_z
Tb1 Tb 0.500 0.000 0.000
Nd1 Nd 0.817 0.643 0.633
Nd2 Nd 0.834 0.194 0.668
Nd3 Nd 0.166 0.806 0.332
Nd4 Nd 0.500 0.500 0.000
Nd5 Nd 0.183 0.357 0.367
Te1 Te 0.335 0.926 0.670
Te2 Te 0.992 0.752 0.984
Te3 Te 0.665 0.074 0.330
Te4 Te 0.008 0.248 0.016
# DOS at the Fermi energy (states/eV per cell): 8.6
# E_tot (eV/atom): -5.11
# Spin magnetization (μB/atom): 0.000



# TbNdTe PBE optimized geometry
data_TbNdTe
_cell_length_a 4.111
_cell_length_b 5.216
_cell_length_c 5.216
_cell_angle_alpha 120.00
_cell_angle_beta 90.00
_cell_angle_gamma 90.00
_symmetry_space_group_name_H-M 'P 1'
_symmetry_Int_Tables_number 1
loop_
_symmetry_equiv_pos_as_xyz
'x,y,z'
loop_
_atom_site_label
_atom_site_type_symbol
_atom_site_fract_x
_atom_site_fract_y
_atom_site_fract_z
Tb1 Tb 0.114 0.000 0.000
Te1 Te 0.286 0.333 0.667
Nd1 Nd 0.600 0.667 0.333
# Excess energy over the best structure of this formula in the dataset (eV/f.u.): 0.82
# DOS at the Fermi energy (states/eV per cell): 3.2
# E_tot (eV/atom): -4.69
# Spin magnetization (μB/atom): 0.000



# Tb2Nd3Te5 PBE optimized geometry
data_Tb2Nd3Te5
_cell_length_a 4.439
_cell_length_b 7.720
_cell_length_c 9.938
_cell_angle_alpha 97.41
_cell_angle_beta 77.09
_cell_angle_gamma 73.29
_symmetry_space_group_name_H-M 'P 1'
_symmetry_Int_Tables_number 1
loop_
_symmetry_equiv_pos_as_xyz
'x,y,z'
loop_
_atom_site_label
_atom_site_type_symbol
_atom_site_fract_x
_atom_site_fract_y
_atom_site_fract_z
Tb1 Tb 0.304 0.293 0.099
Tb2 Tb 0.696 0.707 0.901
Te1 Te 0.611 0.587 0.190
Te2 Te 0.205 0.199 0.392
Te3 Te 0.795 0.801 0.608
Te4 Te 0.389 0.413 0.810
Te5 Te 0.000 0.000 0.000
Nd1 Nd 0.098 0.108 0.696
Nd2 Nd 0.500 0.500 0.500
Nd3 Nd 0.902 0.892 0.304
# DOS at the Fermi energy (states/eV per cell): 4.6
# E_tot (eV/atom): -5.31
# Spin magnetization (μB/atom): 0.000



# TbNd3Te PBE optimized geometry
data_TbNd3Te
_cell_length_a 5.835
_cell_length_b 6.481
_cell_length_c 9.535
_cell_angle_alpha 113.51
_cell_angle_beta 90.00
_cell_angle_gamma 90.00
_symmetry_space_group_name_H-M 'P 1'
_symmetry_Int_Tables_number 1
loop_
_symmetry_equiv_pos_as_xyz
'x,y,z'
loop_
_atom_site_label
_atom_site_type_symbol
_atom_site_fract_x
_atom_site_fract_y
_atom_site_fract_z
Nd1 Nd 0.250 0.374 0.577
Nd2 Nd 0.250 0.694 0.004
Nd3 Nd 0.750 0.023 0.263
Nd4 Nd 0.750 0.306 0.996
Nd5 Nd 0.750 0.626 0.423
Nd6 Nd 0.250 0.977 0.737
Tb1 Tb 0.750 0.697 0.813
Tb2 Tb 0.250 0.303 0.187
Te1 Te 0.750 0.162 0.636
Te2 Te 0.250 0.838 0.364
# DOS at the Fermi energy (states/eV per cell): 10.4
# E_tot (eV/atom): -4.84
# Spin magnetization (μB/atom): 0.000